Entry 1:
A plane-wave DFT calculation with PBE was carried out for crystalline HoCoCl6 at its relaxed geometry.

Lattice parameters (Å, degrees): 6.3182 6.3182 6.3286 99.65 99.65 119.92
Closest atoms and distances in Å follow each position.
Positions (direct):
Ho1 0.0000 0.0000 0.0000  6 Cl 2.62-2.64
Co1 0.6670 0.3330 0.0000  6 Cl 2.27-2.28
Cl1 0.0312 0.4078 0.2282  1 Co 2.28
Cl2 0.3012 0.2572 0.7725  1 Co 2.28
Cl3 0.4521 0.1178 0.2237  1 Co 2.27
Cl4 0.5922 0.9688 0.7718  1 Co 2.28
Cl5 0.7428 0.6988 0.2275  1 Co 2.28
Cl6 0.8822 0.5479 0.7763  1 Co 2.27

---

Entry 2:
A plane-wave DFT calculation with PBE was carried out for crystalline InCoCl6 at its relaxed geometry.

Lattice parameters (Å, degrees): 6.2054 6.2054 6.2969 99.47 99.47 119.93
Closest atoms and distances in Å follow each position.
Positions (direct):
In1 0.0000 0.0000 0.0000  6 Cl 2.54-2.55
Co1 0.3332 0.6668 0.0000  6 Cl 2.26
Cl1 0.1159 0.4432 0.2220  1 Co 2.26
Cl2 0.2522 0.2946 0.7752  1 Co 2.26
Cl3 0.4004 0.0317 0.2253  1 Co 2.26
Cl4 0.5568 0.8841 0.7780  1 Co 2.26
Cl5 0.7054 0.7478 0.2248  1 Co 2.26
Cl6 0.9683 0.5996 0.7747  1 Co 2.26

---

Entry 3:
A plane-wave DFT calculation with PBE was carried out for crystalline KIn2CoCl6 at its relaxed geometry.

Lattice parameters (Å, degrees): 7.2572 7.2572 7.2572 60.00 60.00 60.00
Closest atoms and distances in Å follow each position.
Positions (direct):
K1 0.0000 0.0000 0.0000  6 Cl 2.89
In1 0.2500 0.2500 0.2500  12 Cl 3.64
In2 0.7500 0.7500 0.7500  12 Cl 3.64
Co1 0.5000 0.5000 0.5000  6 Cl 2.24
Cl1 0.2815 0.2815 0.7185  1 Co 2.24
Cl2 0.2815 0.7185 0.2815  1 Co 2.24
Cl3 0.2815 0.7185 0.7185  1 Co 2.24
Cl4 0.7185 0.2815 0.2815  1 Co 2.24
Cl5 0.7185 0.2815 0.7185  1 Co 2.24
Cl6 0.7185 0.7185 0.2815  1 Co 2.24

---

Entry 4:
A plane-wave DFT calculation with PBE was carried out for crystalline LiIn2CoCl6 at its relaxed geometry.

Lattice parameters (Å, degrees): 6.7957 6.7957 6.7957 60.00 60.00 60.00
Closest atoms and distances in Å follow each position.
Positions (direct):
Li1 0.0000 0.0000 0.0000  6 Cl 2.54
In1 0.2500 0.2500 0.2500  12 Cl 3.40
In2 0.7500 0.7500 0.7500  12 Cl 3.40
Co1 0.5000 0.5000 0.5000  6 Cl 2.26
Cl1 0.2645 0.2645 0.7355  1 Co 2.26
Cl2 0.2645 0.7355 0.2645  1 Co 2.26
Cl3 0.2645 0.7355 0.7355  1 Co 2.26
Cl4 0.7355 0.2645 0.2645  1 Co 2.26
Cl5 0.7355 0.2645 0.7355  1 Co 2.26
Cl6 0.7355 0.7355 0.2645  1 Co 2.26

---

no.,M_tot (μB per atom),E_tot (eV per cell)
1,0.000,-33.79
2,0.000,-27.48
3,0.000,-33.54
4,0.001,-34.12